First-principles (PBE) data for a geometry-optimized AgRu2F8 structure, as listed in Alexandria.

Values from the calculation:
Space-group type: C2/m, No. 12
VASP energy: -4.74 eV per atom
D(E_F): 0.29 states/eV/atom
ΔE_f (raw): -137.87 kJ per mole of atoms
Theoretical density: 4.50 g cm⁻³

a b c (Å): 4.5019 6.2974 7.6712
angles (deg): 127.59 89.96 96.88
Site moments in Bohr magnetons follow the coordinates.
Fractional positions:
F: 0.7216 0.2002 0.6001  0.06
F: 0.7452 0.7876 0.1436  0.12
F: 0.7446 0.7884 0.6443  0.12
Ru: 0.7675 0.7852 0.3926  2.11
Ru: 0.2325 0.2148 0.6074  2.11
F: 0.2316 0.5969 0.7984  0.11
Ag: 0.0000 0.0000 0.0000  0.07
F: 0.2554 0.2116 0.3557  0.12
F: 0.7684 0.4031 0.2016  0.11
F: 0.2784 0.7998 0.3998  0.06
F: 0.2548 0.2125 0.8564  0.12

***

First-principles (PBE) data for a geometry-optimized Y3SiP structure, as listed in Alexandria.

Values from the calculation:
Space-group type: Pm-3m, No. 221
VASP energy: -6.55 eV per atom
D(E_F): 0.66 states/eV/atom
ΔE_f (raw): -49.06 kJ per mole of atoms
Theoretical density: 3.91 g cm⁻³

a b c (Å): 5.1723 5.1723 5.1723
angles (deg): 90.00 90.00 90.00
Fractional positions:
Si: 0.5000 0.5000 0.5000
Y: 0.0000 0.5000 0.0000
P: 0.0000 0.0000 0.0000
Y: 0.0000 0.0000 0.5000
Y: 0.5000 0.0000 0.0000

***

First-principles (PBE) data for a geometry-optimized SrLiMg2Cd structure, as listed in Alexandria.

Values from the calculation:
Space-group type: P4/mmm, No. 123
VASP energy: -1.51 eV per atom
D(E_F): 0.56 states/eV/atom
Theoretical density: 2.81 g cm⁻³
Formation enthalpy at 0 K: 0.03 eV per atom

a b c (Å): 5.3428 5.2931 5.3428
angles (deg): 90.00 90.00 90.00
Fractional positions:
Mg: 0.5000 0.0000 0.0000
Li: 0.0000 0.5000 0.0000
Mg: 0.0000 0.0000 0.5000
Cd: 0.0000 0.0000 0.0000
Sr: 0.5000 0.5000 0.5000

***

First-principles (PBE) data for a geometry-optimized KMg2Se structure, as listed in Alexandria.

Values from the calculation:
Space-group type: Imm2, No. 44
VASP energy: -2.23 eV per atom
D(E_F): 0.45 states/eV/atom
ΔE_f (raw): -27.80 kJ per mole of atoms
Theoretical density: 2.13 g cm⁻³

a b c (Å): 6.1761 6.1761 6.1761
angles (deg): 140.80 116.51 77.21
Fractional positions:
Mg: 0.2934 0.7934 0.5000
K: 0.7163 0.2163 0.5000
Se: 0.4497 0.4497 0.0000
Mg: 0.0407 0.0407 0.0000

***

First-principles (PBE) data for a geometry-optimized TbMgGa4 structure, as listed in Alexandria.

Values from the calculation:
Space-group type: P-3m1, No. 164
VASP energy: -3.36 eV per atom
D(E_F): 0.49 states/eV/atom
Theoretical density: 6.58 g cm⁻³
Formation enthalpy at 0 K: -0.30 eV per atom

a b c (Å): 5.5385 5.5385 8.7825
angles (deg): 90.00 90.00 120.00
Fractional positions:
Mg: 0.3333 0.6667 0.0518
Tb: 0.6667 0.3333 0.5756
Ga: 0.6541 0.8270 0.7515
Ga: 0.8270 0.6541 0.2485
Ga: 0.3459 0.1730 0.2485
Ga: 0.1730 0.3459 0.7515
Tb: 0.3333 0.6667 0.4244
Ga: 0.0000 0.0000 0.5000
Ga: 0.0000 0.0000 0.0000
Ga: 0.8270 0.1730 0.2485
Mg: 0.6667 0.3333 0.9482
Ga: 0.1730 0.8270 0.7515

***

First-principles (PBE) data for a geometry-optimized AcAl5Pd3 structure, as listed in Alexandria.

Values from the calculation:
Space-group type: Cmcm, No. 63
VASP energy: -5.01 eV per atom
D(E_F): 0.40 states/eV/atom
Theoretical density: 6.55 g cm⁻³
Formation enthalpy at 0 K: -0.75 eV per atom

a b c (Å): 4.1770 6.8107 12.7612
angles (deg): 90.00 90.00 107.86
Fractional positions:
Al: 0.8005 0.6010 0.0610
Al: 0.8005 0.6010 0.4390
Al: 0.0000 0.0000 0.0000
Pd: 0.3903 0.7805 0.9592
Ac: 0.8335 0.6671 0.7500
Al: 0.5576 0.1152 0.8510
Pd: 0.6097 0.2195 0.0408
Pd: 0.8767 0.7533 0.2500
Pd: 0.1233 0.2467 0.7500
Al: 0.4424 0.8848 0.1490
Al: 0.1995 0.3990 0.9390
Al: 0.0000 0.0000 0.5000
Ac: 0.1665 0.3329 0.2500
Al: 0.5576 0.1152 0.6490
Al: 0.4424 0.8848 0.3510
Pd: 0.3903 0.7805 0.5408
Al: 0.1995 0.3990 0.5610
Pd: 0.6097 0.2195 0.4592

***

First-principles (PBE) data for a geometry-optimized Pr3MgIr structure, as listed in Alexandria.

Values from the calculation:
Space-group type: P2_1/c, No. 14
VASP energy: -5.26 eV per atom
D(E_F): 0.99 states/eV/atom
Theoretical density: 7.24 g cm⁻³
Formation enthalpy at 0 K: -0.30 eV per atom

a b c (Å): 7.0122 10.1769 9.6185
angles (deg): 121.29 90.00 90.00
Fractional positions:
Mg: 0.7989 0.5000 0.4998
Pr: 0.9997 0.6960 0.2850
Mg: 0.7011 0.0000 0.4998
Pr: 0.4996 0.5813 0.2736
Pr: 0.0002 0.2957 0.0890
Pr: 0.9996 0.9187 0.7264
Pr: 0.5003 0.1960 0.2850
Ir: 0.7412 0.9994 0.9999
Pr: 0.0004 0.0813 0.2736
Ir: 0.7588 0.4994 0.9999
Pr: 0.9998 0.7043 0.9110
Mg: 0.2989 0.0000 0.5002
Mg: 0.2011 0.5000 0.5002
Pr: 0.0003 0.3040 0.7150
Ir: 0.2588 0.0006 0.0001
Pr: 0.4998 0.7957 0.0890
Pr: 0.4997 0.8040 0.7150
Pr: 0.5004 0.4187 0.7264
Ir: 0.2412 0.5006 0.0001
Pr: 0.5002 0.2043 0.9110

***

First-principles (PBE) data for a geometry-optimized Nd2YHo4 structure, as listed in Alexandria.

Values from the calculation:
Space-group type: Cmmm, No. 65
VASP energy: -4.66 eV per atom
D(E_F): 1.34 states/eV/atom
Theoretical density: 7.10 g cm⁻³
Formation enthalpy at 0 K: 0.24 eV per atom

a b c (Å): 6.9418 6.9418 10.3067
angles (deg): 90.00 90.00 102.45
Fractional positions:
Nd: 0.2918 0.7076 0.0000
Ho: 0.5000 0.0000 0.2498
Ho: 0.7959 0.7957 0.5000
Ho: 0.2043 0.2041 0.0000
Ho: 0.2041 0.2043 0.5000
Ho: 0.7957 0.7959 0.0000
Y: 0.5000 0.5000 0.7500
Nd: 0.7076 0.2918 0.5000
Ho: 0.5000 0.0000 0.7502
Ho: 0.0000 0.5000 0.2502
Y: 0.5000 0.5000 0.2500
Ho: 0.0000 0.5000 0.7498
Nd: 0.7082 0.2924 0.0000
Nd: 0.2924 0.7082 0.5000

***

| no. | V (Å³/atom) |
| --- | --- |
| 1 | 15.5 |
| 2 | 27.7 |
| 3 | 30.2 |
| 4 | 32.5 |
| 5 | 19.4 |
| 6 | 19.2 |
| 7 | 29.3 |
| 8 | 34.6 |